DFT (PBE-GGA) results for an optimized crystal structure of Ba2NaSb2.

Cell: 7.1261 7.1261 12.7816 Å, 115.59 115.59 41.44°
Closest atoms and distances in Å follow each position.
Fractional positions:
Ba  0.0760  0.0760  0.4080  6 Sb 3.57-3.99, 1 Ba 3.75
Ba  0.3423  0.3423  0.8281  6 Sb 3.55-3.72, 3 Na 3.69-3.87
Ba  0.6577  0.6577  0.1719  6 Sb 3.55-3.72, 3 Na 3.69-3.87
Ba  0.9240  0.9240  0.5920  6 Sb 3.57-3.99, 1 Ba 3.75
Na  0.3370  0.3370  0.1284  4 Sb 3.11-3.36
Na  0.6630  0.6630  0.8716  4 Sb 3.11-3.36
Sb  0.0617  0.0617  0.9305  1 Sb 2.93, 2 Na 3.11
Sb  0.3288  0.3288  0.3687  1 Na 3.12
Sb  0.6712  0.6712  0.6313  1 Na 3.12
Sb  0.9383  0.9383  0.0695  1 Sb 2.93, 2 Na 3.11

Output
- symmetry = C2/m (12)
- offset from the most stable computed form (eV/atom) = 0.0100
- total moment (Bohr magnetons per cell) = 0.0
- energy (eV/cell) = -35.0
- ΔE_f (raw) (eV/atom) = -0.8225

=====

DFT (PBE-GGA) results for an optimized crystal structure of RbHgP2H6.

Cell: 7.2755 7.2755 6.1719 Å, 90.00 90.00 92.85°
Closest atoms and distances in Å follow each position.
Fractional positions:
Rb  0.2080  0.7920  0.7500  8 H 3.10-3.29
Rb  0.7920  0.2080  0.2500  8 H 3.10-3.29
Hg  0.4291  0.5709  0.2500  6 H 2.78-3.05
Hg  0.5709  0.4291  0.7500  6 H 2.78-3.05
P  0.1185  0.2594  0.7500  3 H 1.45-1.46
P  0.2594  0.1185  0.2500  3 H 1.45-1.46
P  0.7406  0.8815  0.7500  3 H 1.45-1.46
P  0.8815  0.7406  0.2500  3 H 1.45-1.46
H  0.0752  0.6990  0.2500  1 P 1.46
H  0.1636  0.3909  0.5791  1 P 1.45
H  0.1636  0.3909  0.9209  1 P 1.45
H  0.3010  0.9248  0.2500  1 P 1.46
H  0.3909  0.1636  0.0791  1 P 1.45
H  0.3909  0.1636  0.4209  1 P 1.45
H  0.6091  0.8364  0.5791  1 P 1.45
H  0.6091  0.8364  0.9209  1 P 1.45
H  0.6990  0.0752  0.7500  1 P 1.46
H  0.8364  0.6091  0.0791  1 P 1.45
H  0.8364  0.6091  0.4209  1 P 1.45
H  0.9248  0.3010  0.7500  1 P 1.46

Output
- symmetry = Cmcm (63)
- total moment (Bohr magnetons per cell) = 0.0
- energy (eV/cell) = -65.1

=====

DFT (PBE-GGA) results for an optimized crystal structure of Zr2ZnMo2.

Cell: 4.2138 4.2138 12.0100 Å, 90.00 90.00 90.00°
Closest atoms and distances in Å follow each position.
Fractional positions:
Zr  0.0000  0.5000  0.2500  4 Mo 2.81, 4 Zr 2.98
Zr  0.0000  0.5000  0.7500  4 Mo 2.81, 4 Zr 2.98
Zr  0.5000  0.0000  0.2500  4 Mo 2.81, 4 Zr 2.98
Zr  0.5000  0.0000  0.7500  4 Mo 2.81, 4 Zr 2.98
Zn  0.0000  0.0000  0.0000  8 Mo 3.19
Zn  0.5000  0.5000  0.5000  8 Mo 3.19
Mo  0.0000  0.0000  0.4052  1 Mo 2.28
Mo  0.0000  0.0000  0.5948  1 Mo 2.28
Mo  0.5000  0.5000  0.0948  1 Mo 2.28
Mo  0.5000  0.5000  0.9052  1 Mo 2.28

Output
- symmetry = I4/mmm (139)
- offset from the most stable computed form (eV/atom) = 0.7524
- ΔE_f (eV/atom) = 0.8943
- total moment (Bohr magnetons per cell) = 0.0
- energy (eV/cell) = -71.1

=====

DFT (PBE-GGA) results for an optimized crystal structure of BaCaTe2.

Cell: 8.4573 8.4573 8.1805 Å, 90.00 90.00 90.00°
Closest atoms and distances in Å follow each position.
Fractional positions:
Ba  0.0000  0.0000  0.2500  8 Te 3.67, 2 Ba 4.09
Ba  0.0000  0.0000  0.7500  8 Te 3.67, 2 Ba 4.09
Ba  0.5000  0.5000  0.2500  8 Te 3.67, 2 Ba 4.09
Ba  0.5000  0.5000  0.7500  8 Te 3.67, 2 Ba 4.09
Ca  0.0000  0.5000  0.2500  4 Te 3.14
Ca  0.0000  0.5000  0.7500  4 Te 3.14
Ca  0.5000  0.0000  0.2500  4 Te 3.14
Ca  0.5000  0.0000  0.7500  4 Te 3.14
Te  0.1987  0.3013  0.0000  2 Ca 3.14
Te  0.1987  0.6987  0.5000  2 Ca 3.14
Te  0.3013  0.1987  0.5000  2 Ca 3.14
Te  0.3013  0.8013  0.0000  2 Ca 3.14
Te  0.6987  0.1987  0.0000  2 Ca 3.14
Te  0.6987  0.8013  0.5000  2 Ca 3.14
Te  0.8013  0.3013  0.5000  2 Ca 3.14
Te  0.8013  0.6987  0.0000  2 Ca 3.14

Output
- symmetry = I4/mcm (140)
- offset from the most stable computed form (eV/atom) = 0.1573
- total moment (Bohr magnetons per cell) = 0.0
- energy (eV/cell) = -65.4
- ΔE_f (raw) (eV/atom) = -1.5384

=====

DFT (PBE-GGA) results for an optimized crystal structure of TmNiRhPb.

Cell: 6.6332 6.6332 6.6332 Å, 90.00 90.00 90.00°
Closest atoms and distances in Å follow each position.
Fractional positions:
Tm  0.0000  0.0000  0.0000  4 Ni 2.87, 4 Rh 2.87
Tm  0.0000  0.5000  0.5000  4 Ni 2.87, 4 Rh 2.87
Tm  0.5000  0.0000  0.5000  4 Ni 2.87, 4 Rh 2.87
Tm  0.5000  0.5000  0.0000  4 Ni 2.87, 4 Rh 2.87
Ni  0.2500  0.2500  0.7500  4 Pb 2.87, 4 Tm 2.87
Ni  0.2500  0.7500  0.2500  4 Pb 2.87, 4 Tm 2.87
Ni  0.7500  0.2500  0.2500  4 Pb 2.87, 4 Tm 2.87
Ni  0.7500  0.7500  0.7500  4 Pb 2.87, 4 Tm 2.87
Rh  0.2500  0.2500  0.2500  4 Pb 2.87, 4 Tm 2.87
Rh  0.2500  0.7500  0.7500  4 Pb 2.87, 4 Tm 2.87
Rh  0.7500  0.2500  0.7500  4 Pb 2.87, 4 Tm 2.87
Rh  0.7500  0.7500  0.2500  4 Tm 2.87, 4 Pb 2.87
Pb  0.0000  0.0000  0.5000  4 Rh 2.87, 4 Ni 2.87
Pb  0.0000  0.5000  0.0000  4 Rh 2.87, 4 Ni 2.87
Pb  0.5000  0.0000  0.0000  4 Rh 2.87, 4 Ni 2.87
Pb  0.5000  0.5000  0.5000  4 Rh 2.87, 4 Ni 2.87

Output
- symmetry = F-43m (216)
- ΔE_f (eV/atom) = -0.4055
- total moment (Bohr magnetons per cell) = 0.0
- energy (eV/cell) = -91.7

=====

DFT (PBE-GGA) results for an optimized crystal structure of LiTlP4.

Cell: 5.5991 5.5991 5.5991 Å, 60.00 60.00 60.00°
Closest atoms and distances in Å follow each position.
Fractional positions:
Li  0.0000  0.0000  0.0000  12 P 3.34, 4 Tl 3.43
Tl  0.2500  0.2500  0.2500  12 P 3.25, 4 Li 3.43
P  0.1835  0.6055  0.6055  3 P 2.36
P  0.6055  0.1835  0.6055  3 P 2.36
P  0.6055  0.6055  0.1835  3 P 2.36
P  0.6055  0.6055  0.6055  3 P 2.36

Output
- symmetry = F-43m (216)
- ΔE_f (eV/atom) = 0.2410
- total moment (Bohr magnetons per cell) = 0.0
- energy (eV/cell) = -24.5

=====

DFT (PBE-GGA) results for an optimized crystal structure of Nd3Al3Si2.

Cell: 6.0569 6.0569 15.9408 Å, 90.00 90.00 140.05°
Closest atoms and distances in Å follow each position.
Fractional positions:
Nd  0.0652  0.9348  0.7500  5 Al 3.06-3.30, 4 Si 3.07
Nd  0.3542  0.6458  0.5915  4 Si 3.15-3.40, 7 Al 3.25-3.34
Nd  0.3542  0.6458  0.9085  4 Si 3.15-3.40, 7 Al 3.25-3.34
Nd  0.6458  0.3542  0.0915  4 Si 3.15-3.40, 7 Al 3.25-3.34
Nd  0.6458  0.3542  0.4085  4 Si 3.15-3.40, 7 Al 3.25-3.34
Nd  0.9348  0.0652  0.2500  5 Al 3.06-3.30, 4 Si 3.07
Al  0.0723  0.9277  0.5581  2 Si 2.46, 1 Al 2.48
Al  0.0723  0.9277  0.9419  2 Si 2.46, 1 Al 2.48
Al  0.2086  0.7914  0.2500  2 Si 2.61
Al  0.7914  0.2086  0.7500  2 Si 2.61
Al  0.9277  0.0723  0.0581  2 Si 2.46, 1 Al 2.48
Al  0.9277  0.0723  0.4419  2 Si 2.46, 1 Al 2.48
Si  0.3502  0.6498  0.1210  3 Al 2.46-2.61
Si  0.3502  0.6498  0.3790  3 Al 2.46-2.61
Si  0.6498  0.3502  0.6210  3 Al 2.46-2.61
Si  0.6498  0.3502  0.8790  3 Al 2.46-2.61

Output
- symmetry = Cmcm (63)
- total moment (Bohr magnetons per cell) = 0.0
- energy (eV/cell) = -82.1
- ΔE_f (raw) (eV/atom) = -0.5819

=====

DFT (PBE-GGA) results for an optimized crystal structure of TiSbAs2.

Cell: 6.0711 6.0711 12.3843 Å, 90.00 90.00 90.00°
Closest atoms and distances in Å follow each position.
Fractional positions:
Ti  0.0000  0.0000  0.0000  4 As 2.51
Ti  0.0000  0.5000  0.2500  4 As 2.51
Ti  0.5000  0.0000  0.7500  4 As 2.51
Ti  0.5000  0.5000  0.5000  4 As 2.51
Sb  0.0000  0.0000  0.5000  4 As 2.80
Sb  0.0000  0.5000  0.7500  4 As 2.80
Sb  0.5000  0.0000  0.2500  4 As 2.80
Sb  0.5000  0.5000  0.0000  4 As 2.80
As  0.2084  0.2500  0.1250  2 Ti 2.51, 2 Sb 2.80
As  0.2500  0.7084  0.3750  2 Ti 2.51, 2 Sb 2.80
As  0.2500  0.7916  0.8750  2 Ti 2.51, 2 Sb 2.80
As  0.2916  0.2500  0.6250  2 Ti 2.51, 2 Sb 2.80
As  0.7084  0.7500  0.6250  2 Ti 2.51, 2 Sb 2.80
As  0.7500  0.2084  0.8750  2 Ti 2.51, 2 Sb 2.80
As  0.7500  0.2916  0.3750  2 Ti 2.51, 2 Sb 2.80
As  0.7916  0.7500  0.1250  2 Ti 2.51, 2 Sb 2.80

Output
- symmetry = I-42d (122)
- total moment (Bohr magnetons per cell) = 3.6
- energy (eV/cell) = -85.2
- ΔE_f (raw) (eV/atom) = 0.0067

=====

DFT (PBE-GGA) results for an optimized crystal structure of TmTh2Co.

Cell: 3.6666 11.6170 9.8116 Å, 90.00 90.00 90.00°
Closest atoms and distances in Å follow each position.
Fractional positions:
Tm  0.0000  0.0899  0.2500  2 Co 3.01
Tm  0.0000  0.9101  0.7500  2 Co 3.01
Tm  0.5000  0.4101  0.7500  2 Co 3.01
Tm  0.5000  0.5899  0.2500  2 Co 3.01
Th  0.0000  0.3624  0.0659  2 Co 2.69
Th  0.0000  0.3624  0.4341  2 Co 2.69
Th  0.0000  0.6376  0.5659  2 Co 2.69
Th  0.0000  0.6376  0.9341  2 Co 2.69
Th  0.5000  0.1376  0.5659  2 Co 2.69
Th  0.5000  0.1376  0.9341  2 Co 2.69
Th  0.5000  0.8624  0.0659  2 Co 2.69
Th  0.5000  0.8624  0.4341  2 Co 2.69
Co  0.0000  0.2046  0.7500  4 Th 2.69, 2 Tm 3.01
Co  0.0000  0.7954  0.2500  4 Th 2.69, 2 Tm 3.01
Co  0.5000  0.2954  0.2500  4 Th 2.69, 2 Tm 3.01
Co  0.5000  0.7046  0.7500  4 Th 2.69, 2 Tm 3.01

Output
- symmetry = Cmcm (63)
- offset from the most stable computed form (eV/atom) = 0.0000
- ΔE_f (eV/atom) = -0.1830
- total moment (Bohr magnetons per cell) = 0.0
- energy (eV/cell) = -108.6

=====

DFT (PBE-GGA) results for an optimized crystal structure of ThMnNi10.

Cell: 4.0127 4.7836 8.3117 Å, 90.00 90.00 90.00°
Closest atoms and distances in Å follow each position.
Fractional positions:
Th  0.0000  0.0000  0.0000  18 Ni 2.85-3.17
Mn  0.0000  0.5000  0.5000  6 Ni 2.61-2.72
Ni  0.0000  0.0000  0.3444  7 Ni 2.39-2.59
Ni  0.0000  0.0000  0.6556  7 Ni 2.39-2.59
Ni  0.0000  0.5000  0.1859  6 Ni 2.40-2.53, 1 Mn 2.61
Ni  0.0000  0.5000  0.8141  6 Ni 2.40-2.53, 1 Mn 2.61
Ni  0.5000  0.0000  0.5000  8 Ni 2.35-2.39
Ni  0.5000  0.2521  0.2571  8 Ni 2.35-2.45
Ni  0.5000  0.2521  0.7429  8 Ni 2.35-2.45
Ni  0.5000  0.5000  0.0000  8 Ni 2.44-2.53
Ni  0.5000  0.7479  0.2571  8 Ni 2.35-2.45
Ni  0.5000  0.7479  0.7429  8 Ni 2.35-2.45

Output
- symmetry = Pmmm (47)
- ΔE_f (eV/atom) = -0.1267
- total moment (Bohr magnetons per cell) = 7.8
- energy (eV/cell) = -75.9